[1]
Here is an optimized crystal structure of Sr2MgRu2 from Alexandria. Energies are from PBE-GGA.

Lattice parameters (Å, degrees): 7.201 7.201 4.854 90.00 90.00 90.00
Each line ends with the local moment (μB).
Positions (direct):
Ru 0.617 0.117 0.000  0.76
Ru 0.383 0.883 0.000  0.76
Ru 0.117 0.383 0.000  0.73
Sr 0.324 0.176 0.500  0.00
Ru 0.883 0.617 0.000  0.73
Sr 0.824 0.324 0.500  0.00
Sr 0.176 0.676 0.500  0.00
Sr 0.676 0.824 0.500  0.00
Mg 0.500 0.500 0.000  -0.01
Mg 0.000 0.000 0.000  -0.01

## Properties
DFT total energy = -0.162 hartree per atom
total moment = 0.327 μB/atom
formation energy from the elements = 0.30 eV/atom
calculated volume = 125.9 Å³/f.u.
N(E_F) = 0.981 states/eV/atom

---

[2]
Here is an optimized crystal structure of HfTh2ZnN5 from Alexandria. Energies are from PBE-GGA.

Lattice parameters (Å, degrees): 3.414 7.128 10.314 90.00 90.00 103.86
Positions (direct):
N 0.642 0.284 0.506
N 0.358 0.716 0.006
Zn 0.519 0.039 0.975
N 0.948 0.895 0.563
Th 0.130 0.261 0.298
Hf 0.797 0.594 0.502
N 0.503 0.006 0.279
N 0.052 0.105 0.063
Th 0.886 0.772 0.187
N 0.497 0.994 0.779
Zn 0.481 0.961 0.475
Hf 0.203 0.406 0.002
N 0.305 0.611 0.362
N 0.289 0.578 0.651
Th 0.114 0.228 0.687
N 0.695 0.389 0.862
Th 0.870 0.739 0.798
N 0.711 0.422 0.151

## Properties
DFT total energy = -0.318 hartree per atom
total moment = 0.000 μB/atom
formation energy without anion corrections = -10.15 eV per formula unit
calculated volume = 121.8 Å³/f.u.
N(E_F) = 0.737 states/eV/atom

---

[3]
Here is an optimized crystal structure of Sm8HoSn2 from Alexandria. Energies are from PBE-GGA.

Lattice parameters (Å, degrees): 6.378 8.929 8.929 44.90 94.47 94.47
Positions (direct):
Sn 0.332 0.256 0.256
Sm 0.104 0.417 0.417
Sm 0.896 0.583 0.583
Sm 0.404 0.844 0.353
Sm 0.834 0.211 0.211
Sm 0.596 0.156 0.647
Ho 0.000 0.000 0.000
Sn 0.668 0.744 0.744
Sm 0.404 0.353 0.844
Sm 0.166 0.789 0.789
Sm 0.596 0.647 0.156

## Properties
DFT total energy = -0.175 hartree per atom
total moment = 0.000 μB/atom
formation energy from the elements = -0.17 eV/atom
calculated volume = 357.6 Å³/f.u.
N(E_F) = 1.352 states/eV/atom